[1]
DFT (PBE) results for TlAsAuCl after structural relaxation.

The structure in POSCAR format:
```
TlAsAuCl
1.0
-4.465 -0.116 -0.201
2.349 -3.796 -0.253
-0.284 -0.621 6.668
Tl Au As Cl
1 1 1 1
Direct
0.333 0.667 0.308
0.000 0.000 0.027
0.667 0.333 0.980
0.667 0.333 0.628
```

Values from the calculation:
**ΔE_f (raw)**: -0.22 eV per atom
**Density of states at the Fermi level**: 1.2 states/eV per cell

***

[2]
DFT (PBE) results for TlAsAuCl after structural relaxation.

The structure in POSCAR format:
```
TlAsAuCl
1.0
3.537 0.000 -0.002
0.000 3.538 -0.001
-1.760 -1.764 8.702
Tl Au As Cl
1 1 1 1
Direct
0.182 0.515 0.995
0.410 0.749 0.459
0.861 0.199 0.359
0.586 0.919 0.802
```

Values from the calculation:
**ΔE_f (raw)**: -0.23 eV per atom
**Density of states at the Fermi level**: 1.3 states/eV per cell

***

[3]
DFT (PBE) results for TlAsAuCl after structural relaxation.

The structure in POSCAR format:
```
TlAsAuCl
1.0
3.908 0.000 -0.010
1.531 3.593 0.002
0.754 0.460 7.865
Tl Au As Cl
1 1 1 1
Direct
0.555 0.382 0.644
0.191 0.021 0.067
0.857 0.686 0.940
0.233 0.059 0.406
```

Values from the calculation:
**ΔE_f (raw)**: -0.20 eV per atom
**Density of states at the Fermi level**: 1.3 states/eV per cell

***

[4]
DFT (PBE) results for TlAsAuCl after structural relaxation.

The structure in POSCAR format:
```
TlAsAuCl
1.0
-0.852 4.620 0.070
-1.886 -0.417 4.715
3.662 0.629 3.797
Tl Au As Cl
1 1 1 1
Direct
0.272 0.330 0.114
0.250 0.026 0.728
0.750 0.849 0.785
0.751 0.746 0.390
```

Values from the calculation:
**ΔE_f (raw)**: -0.19 eV per atom
**Density of states at the Fermi level**: 0.1 states/eV per cell

***

[5]
DFT (PBE) results for TlAsAuCl after structural relaxation.

The structure in POSCAR format:
```
TlAsAuCl
1.0
4.695 0.000 0.000
0.008 4.860 0.000
2.316 0.707 5.124
Tl Au As Cl
1 1 1 1
Direct
0.174 0.852 0.399
0.895 0.580 0.962
0.377 0.410 0.999
0.579 0.249 0.591
```

Values from the calculation:
**ΔE_f (raw)**: -0.16 eV per atom
**Density of states at the Fermi level**: 0.5 states/eV per cell

***

[6]
DFT (PBE) results for Tl2AsAuCl6 after structural relaxation.

The structure in POSCAR format:
```
Tl2AsAuCl6
1.0
7.334 0.010 0.003
0.010 7.336 0.003
3.674 3.675 5.178
Tl As Au Cl
2 1 1 6
Direct
0.751 0.250 0.499
0.249 0.750 0.501
0.500 0.500 0.000
0.000 0.000 0.000
0.257 0.257 0.487
0.743 0.742 0.999
0.257 0.743 0.000
0.743 0.257 0.000
0.257 0.258 0.001
0.743 0.743 0.513
```

Values from the calculation:
**ΔE_f (raw)**: -0.65 eV per atom
**Density of states at the Fermi level**: 0.4 states/eV per cell

***

[7]
DFT (PBE) results for TlAsAuCl after structural relaxation.

The structure in POSCAR format:
```
TlAsAuCl
1.0
-0.950 -2.210 -2.562
-0.805 -2.486 2.443
-7.931 4.734 -0.332
Tl Au As Cl
1 1 1 1
Direct
0.476 0.275 0.001
0.422 0.111 0.653
0.904 0.564 0.556
0.005 0.860 0.175
```

Values from the calculation:
**ΔE_f (raw)**: -0.22 eV per atom
**Density of states at the Fermi level**: 1.4 states/eV per cell

***

[8]
DFT (PBE) results for Co3AsAu after structural relaxation.

The structure in POSCAR format:
```
Co3AsAu
1.0
-1.012 2.526 3.356
-2.573 -3.101 1.558
3.320 -1.633 2.231
Co As Au
3 1 1
Direct
0.000 0.500 0.000
0.000 0.000 0.500
0.500 0.000 0.000
0.000 0.000 0.000
0.500 0.500 0.500
```

Values from the calculation:
**Density of states at the Fermi level**: 8.4 states/eV per cell
**Energy of formation from the pure elements**: 0.649 eV per atom

***

[9]
DFT (PBE) results for CoAsAu2 after structural relaxation.

The structure in POSCAR format:
```
CoAsAu2
1.0
-0.553 -3.096 -2.161
3.336 0.138 -1.052
2.985 -2.820 3.278
As Au Co
1 2 1
Direct
0.500 0.567 0.740
0.000 0.953 0.969
0.500 0.293 0.288
0.000 0.686 0.502
```

Values from the calculation:
**Density of states at the Fermi level**: 2.5 states/eV per cell
**Energy of formation from the pure elements**: 0.200 eV per atom

***

[10]
DFT (PBE) results for CoAsAu2 after structural relaxation.

The structure in POSCAR format:
```
CoAsAu2
1.0
3.966 0.000 0.000
0.000 3.966 0.000
0.000 0.000 4.207
As Au Co
1 2 1
Direct
0.000 0.500 0.500
0.000 0.000 0.000
0.500 0.500 0.000
0.500 0.000 0.500
```

Values from the calculation:
**Density of states at the Fermi level**: 3.9 states/eV per cell
**Energy of formation from the pure elements**: 0.314 eV per atom

***

[11]
DFT (PBE) results for Co2As2Au after structural relaxation.

The structure in POSCAR format:
```
Co2As2Au
1.0
6.918 0.000 0.000
0.000 6.918 0.000
0.000 0.000 2.988
Co As Au
4 4 2
Direct
0.365 0.865 0.000
0.865 0.635 0.000
0.635 0.135 0.000
0.135 0.365 0.000
0.152 0.652 0.500
0.652 0.848 0.500
0.848 0.348 0.500
0.348 0.152 0.500
0.000 0.000 0.000
0.500 0.500 0.000
```

Values from the calculation:
**Density of states at the Fermi level**: 6.8 states/eV per cell
**Energy of formation from the pure elements**: 0.052 eV per atom

***

[12]
DFT (PBE) results for CoAs3Au after structural relaxation.

The structure in POSCAR format:
```
CoAs3Au
1.0
-1.506 2.702 -3.379
-4.318 -0.706 1.359
0.281 3.631 2.779
Co As Au
1 3 1
Direct
0.000 0.000 0.000
0.000 0.500 0.000
0.000 0.000 0.500
0.500 0.000 0.000
0.500 0.500 0.500
```

Values from the calculation:
**Density of states at the Fermi level**: 6.3 states/eV per cell
**Energy of formation from the pure elements**: 0.431 eV per atom

***

[13]
DFT (PBE) results for CoAsAu2 after structural relaxation.

The structure in POSCAR format:
```
CoAsAu2
1.0
-2.909 -2.382 -1.533
-0.620 -3.988 -0.443
-3.128 -0.999 5.095
As Au Co
1 2 1
Direct
0.773 0.773 0.676
0.994 0.994 0.981
0.236 0.236 0.279
0.497 0.497 0.563
```

Values from the calculation:
**Density of states at the Fermi level**: 2.7 states/eV per cell
**Energy of formation from the pure elements**: 0.166 eV per atom

***

[14]
DFT (PBE) results for Co3AsAu after structural relaxation.

The structure in POSCAR format:
```
Co3AsAu
1.0
-3.598 1.926 -2.254
-0.184 -3.683 -2.853
-2.959 -2.112 2.918
Co As Au
3 1 1
Direct
0.000 0.500 0.000
0.000 0.000 0.500
0.500 0.000 0.000
0.500 0.500 0.500
0.000 0.000 0.000
```

Values from the calculation:
**Density of states at the Fermi level**: 10.1 states/eV per cell
**Energy of formation from the pure elements**: 1.485 eV per atom